No. 1
Sm3TaO7 (PBEsol, relaxed); energy relative to the lowest polymorph listed for this composition = 0.0000 eV per atom; D(E_F) = 0.00 states/eV/cell; formation energy without anion corrections = -3.38 eV/atom
1.0
3.807 -5.328 0.000
3.807 5.328 0.000
0.000 0.000 7.538
Sm Ta O
6 2 14
direct
0.032 0.032 0.000
0.037 0.499 0.260
0.499 0.037 0.740
0.501 0.963 0.240
0.963 0.501 0.760
0.968 0.968 0.500
0.499 0.499 0.500
0.501 0.501 0.000
0.129 0.871 0.750
0.137 0.863 0.250
0.175 0.419 0.977
0.196 0.450 0.543
0.419 0.175 0.023
0.436 0.564 0.250
0.450 0.196 0.457
0.550 0.804 0.957
0.564 0.436 0.750
0.581 0.825 0.523
0.804 0.550 0.043
0.825 0.581 0.477
0.863 0.137 0.750
0.871 0.129 0.250

No. 2
Sm3TaO7 (PBEsol, relaxed); energy relative to the lowest polymorph listed for this composition = 0.0034 eV per atom; D(E_F) = 0.00 states/eV/cell; formation energy without anion corrections = -3.38 eV/atom
1.0
7.487 0.000 0.000
0.000 10.724 0.000
0.000 0.000 7.553
Sm Ta O
12 4 28
direct
0.013 0.250 0.208
0.249 0.024 0.542
0.249 0.476 0.542
0.251 0.524 0.042
0.251 0.976 0.042
0.487 0.750 0.708
0.513 0.250 0.292
0.749 0.024 0.958
0.749 0.476 0.958
0.751 0.524 0.458
0.751 0.976 0.458
0.987 0.750 0.792
0.002 0.250 0.750
0.498 0.750 0.250
0.502 0.250 0.750
0.998 0.750 0.250
0.037 0.126 0.951
0.037 0.374 0.951
0.044 0.612 0.409
0.044 0.888 0.409
0.243 0.617 0.771
0.243 0.883 0.771
0.247 0.250 0.667
0.253 0.750 0.167
0.257 0.117 0.271
0.257 0.383 0.271
0.456 0.112 0.909
0.456 0.388 0.909
0.463 0.626 0.451
0.463 0.874 0.451
0.537 0.126 0.549
0.537 0.374 0.549
0.544 0.612 0.091
0.544 0.888 0.091
0.743 0.617 0.729
0.743 0.883 0.729
0.747 0.250 0.833
0.753 0.750 0.333
0.757 0.117 0.229
0.757 0.383 0.229
0.956 0.112 0.591
0.956 0.388 0.591
0.963 0.626 0.049
0.963 0.874 0.049

No. 3
Sm6Ta2Ti4O21 (PBEsol, relaxed); D(E_F) = 17.37 states/eV/cell; formation energy without anion corrections = -3.26 eV/atom
1.0
5.148 -5.143 0.000
5.148 5.143 0.000
-4.942 0.000 15.412
Sm Ta Ti O
12 4 8 42
direct
0.000 0.000 0.000
0.000 0.000 0.500
0.000 0.500 0.000
0.175 0.671 0.837
0.329 0.825 0.663
0.333 0.335 0.663
0.335 0.333 0.163
0.500 0.000 0.500
0.665 0.667 0.837
0.667 0.665 0.337
0.671 0.175 0.337
0.825 0.329 0.163
0.164 0.176 0.834
0.176 0.164 0.334
0.824 0.836 0.666
0.836 0.824 0.166
0.000 0.500 0.500
0.179 0.658 0.339
0.342 0.821 0.161
0.500 0.000 0.000
0.500 0.500 0.000
0.500 0.500 0.500
0.658 0.179 0.839
0.821 0.342 0.661
0.000 0.331 0.583
0.000 0.669 0.417
0.003 0.251 0.415
0.040 0.290 0.083
0.057 0.805 0.113
0.073 0.328 0.750
0.074 0.926 0.750
0.141 0.388 0.281
0.195 0.943 0.387
0.251 0.003 0.915
0.251 0.417 0.916
0.277 0.531 0.556
0.290 0.040 0.583
0.327 0.577 0.082
0.327 0.673 0.250
0.328 0.073 0.250
0.331 0.000 0.083
0.376 0.624 0.750
0.388 0.141 0.781
0.417 0.251 0.416
0.423 0.673 0.418
0.469 0.723 0.944
0.531 0.277 0.056
0.577 0.327 0.582
0.583 0.749 0.584
0.612 0.859 0.219
0.624 0.376 0.250
0.669 0.000 0.917
0.672 0.927 0.750
0.673 0.327 0.750
0.673 0.423 0.918
0.710 0.960 0.417
0.723 0.469 0.444
0.749 0.583 0.084
0.749 0.997 0.085
0.805 0.057 0.613
0.859 0.612 0.719
0.926 0.074 0.250
0.927 0.672 0.250
0.943 0.195 0.887
0.960 0.710 0.917
0.997 0.749 0.585

No. 4
Sm2Tc2O7 (PBEsol, relaxed); D(E_F) = 3.55 states/eV/cell; formation energy without anion corrections = -2.38 eV/atom
1.0
0.000 5.149 5.149
5.149 0.000 5.149
5.149 5.149 0.000
Sm Tc O
4 4 14
direct
0.000 0.000 0.000
0.000 0.000 0.500
0.000 0.500 0.000
0.500 0.000 0.000
0.000 0.500 0.500
0.500 0.000 0.500
0.500 0.500 0.000
0.500 0.500 0.500
0.125 0.125 0.125
0.166 0.166 0.584
0.166 0.584 0.166
0.166 0.584 0.584
0.416 0.416 0.834
0.416 0.834 0.416
0.416 0.834 0.834
0.584 0.166 0.166
0.584 0.166 0.584
0.584 0.584 0.166
0.834 0.416 0.416
0.834 0.416 0.834
0.834 0.834 0.416
0.875 0.875 0.875

No. 5
Sm2TeO6 (PBEsol, relaxed); energy relative to the lowest polymorph listed for this composition = 0.1102 eV per atom; D(E_F) = 0.00 states/eV/cell; formation energy without anion corrections = -2.44 eV/atom
1.0
5.031 0.000 0.000
0.000 5.031 0.000
0.000 0.000 10.227
Sm Te O
4 2 12
direct
0.000 0.000 0.166
0.000 0.000 0.834
0.500 0.500 0.334
0.500 0.500 0.666
0.000 0.000 0.500
0.500 0.500 0.000
0.181 0.181 0.357
0.181 0.181 0.643
0.227 0.227 0.000
0.273 0.727 0.500
0.319 0.681 0.143
0.319 0.681 0.857
0.681 0.319 0.143
0.681 0.319 0.857
0.727 0.273 0.500
0.773 0.773 0.000
0.819 0.819 0.357
0.819 0.819 0.643

No. 6
Sm2Te4O11 (PBEsol, relaxed); D(E_F) = 0.00 states/eV/cell; formation energy without anion corrections = -1.86 eV/atom
1.0
6.213 -2.579 0.000
6.213 2.579 0.000
-4.474 0.000 15.484
Sm Te O
4 8 22
direct
0.127 0.636 0.963
0.364 0.873 0.537
0.636 0.127 0.463
0.873 0.364 0.037
0.091 0.658 0.630
0.100 0.651 0.297
0.342 0.909 0.870
0.349 0.900 0.203
0.651 0.100 0.797
0.658 0.091 0.130
0.900 0.349 0.703
0.909 0.342 0.370
0.061 0.891 0.401
0.109 0.939 0.099
0.166 0.250 0.945
0.182 0.315 0.631
0.250 0.166 0.445
0.288 0.408 0.828
0.315 0.182 0.131
0.316 0.545 0.547
0.363 0.637 0.250
0.408 0.288 0.328
0.455 0.684 0.953
0.545 0.316 0.047
0.592 0.712 0.672
0.637 0.363 0.750
0.684 0.455 0.453
0.685 0.818 0.869
0.712 0.592 0.172
0.750 0.834 0.555
0.818 0.685 0.369
0.834 0.750 0.055
0.891 0.061 0.901
0.939 0.109 0.599

Q: Which value of D(E_F) does entry 6 give?
A: 0.00 states/eV/cell

Q: Look up the formation energy without anion corrections of the fourth one.
A: -2.38 eV/atom

Q: Which of these has the highest formation energy without anion corrections?
A: Sm2Te4O11